## ScReAu2 (PBE)

Data for an optimized crystal structure of ScReAu2.

Values from the calculation:
- Mass density: 14.88 g cm⁻³
- Energy of formation: 0.11 eV/atom

Lattice parameters (Å, degrees): 2.9072 2.9072 8.2557 90.00 90.00 90.00
Space group P4/mmm (No. 123)
Asymmetric unit:
Sc: 0.0000 0.0000 0.0000 (multiplicity 1)
Re: 0.0000 0.0000 0.5000 (multiplicity 1)
Au: 0.5000 0.5000 0.2543 (multiplicity 2)